# NaLi2AsF PBE optimized geometry
# E_tot: -18.2 eV for the cell shown
# E_form (uncorrected): -1.315 eV per atom
data_NaLi2AsF
_cell_length_a 4.1164
_cell_length_b 4.1164
_cell_length_c 4.5343
_cell_angle_alpha 90.00
_cell_angle_beta 90.00
_cell_angle_gamma 90.00
_space_group_name_H-M_alt 'P 4/m m m'
_space_group_IT_number 123
_space_group_name_Hall '-P 4 2'
loop_
_atom_site_label
_atom_site_fract_x
_atom_site_fract_y
_atom_site_fract_z
Na1 0.0000 0.0000 0.0000
Li1 0.0000 0.5000 0.5000
As1 0.5000 0.5000 0.0000
F1 0.0000 0.0000 0.5000